Computed, not measured: a relaxed ErMgAl crystal at the PBE level of DFT.

Unit cell a=6.648 b=6.648 c=6.648 alpha=151.10 beta=151.10 gamma=41.34
Element x y z (fractional)
Er 0.000 0.000 0.000
Mg 0.303 0.303 0.000
Al 0.659 0.659 0.000

Total DFT energy (no corrections) ... -10.40 eV/cell
Energy of formation from the pure elements ... -3.8 kcal/mol of atoms